No. 1
7
Lattice="2.365 1.366 7.928 -2.365 1.366 7.928 0.000 -2.731 7.928" Properties=species:S:1:pos:R:3 comment="Li4CeSn2 PBE optimized geometry" e_form_mev_per_atom=-447 dos_ef_per_ev_cell=3.60 e_tot_ev_per_fu=-24.72 density_g_cm3=4.4 pbc="T T T"
Li 0.000 0.000 1.733
Li 0.000 0.000 8.612
Li 0.000 0.000 15.172
Li 0.000 0.000 22.051
Ce 0.000 0.000 11.892
Sn 0.000 0.000 5.730
Sn 0.000 0.000 18.055



No. 2
4
Lattice="4.982 0.000 0.000 0.000 4.982 0.000 0.000 0.000 3.091" Properties=species:S:1:pos:R:3 comment="Ta2InBr PBE optimized geometry" e_form_raw_ev_per_atom=0.7098 polymorph_energy_ev_per_atom=0.639 dos_ef_per_ev_cell=3.08 e_tot_ev_per_fu=-25.28 density_g_cm3=12.0 pbc="T T T"
Ta 0.000 2.491 0.000
Ta 2.491 0.000 0.000
In 0.000 0.000 1.545
Br 2.491 2.491 1.545